Run 1
VASP calculation (PBE) on a geometry-optimized LaC2F structure.

Geometry as CIF:
```
data_LaC2F
_cell_length_a 6.0570
_cell_length_b 6.0570
_cell_length_c 6.0570
_cell_angle_alpha 90.00
_cell_angle_beta 90.00
_cell_angle_gamma 90.00
_space_group_name_H-M_alt 'F m -3 m'
_space_group_IT_number 225
_space_group_name_Hall '-F 4 2 3'
loop_
_atom_site_label
_atom_site_type_symbol
_atom_site_fract_x
_atom_site_fract_y
_atom_site_fract_z
La1 La 0.0000 0.0000 0.0000
C1 C 0.2500 0.2500 0.2500
F1 F 0.0000 0.0000 0.5000
```

Total magnetic moment   0.000 μB/atom
Density of states at the Fermi level   8.016 states/eV/cell

***

Run 2
VASP calculation (PBE) on a geometry-optimized LaC2F structure.

Geometry as CIF:
```
data_LaC2F
_cell_length_a 3.3161
_cell_length_b 3.3161
_cell_length_c 19.6901
_cell_angle_alpha 90.00
_cell_angle_beta 90.00
_cell_angle_gamma 90.00
_space_group_name_H-M_alt 'I 41/a m d'
_space_group_IT_number 141
loop_
_space_group_symop_operation_xyz
'x,y,z'
'-x,-y,-z'
'-y+1/4,x+3/4,z+1/4'
'y+1/4,-x+3/4,-z+1/4'
'-x+1/2,-y,z+1/2'
'x+1/2,y,-z+1/2'
'y+1/4,-x+1/4,z+3/4'
'-y+1/4,x+1/4,-z+3/4'
'x,-y,-z'
'-x,y,z'
'-y+1/4,-x+1/4,-z+3/4'
'y+1/4,x+1/4,z+3/4'
'-x+1/2,y,-z+1/2'
'x+1/2,-y,z+1/2'
'y+1/4,x+3/4,-z+1/4'
'-y+1/4,-x+3/4,z+1/4'
'x+1/2,y+1/2,z+1/2'
'-x+1/2,-y+1/2,-z+1/2'
'-y+3/4,x+1/4,z+3/4'
'y+3/4,-x+1/4,-z+3/4'
'-x,-y+1/2,z'
'x,y+1/2,-z'
'y+3/4,-x+3/4,z+1/4'
'-y+3/4,x+3/4,-z+1/4'
'x+1/2,-y+1/2,-z+1/2'
'-x+1/2,y+1/2,z+1/2'
'-y+3/4,-x+3/4,-z+1/4'
'y+3/4,x+3/4,z+1/4'
'-x,y+1/2,-z'
'x,-y+1/2,z'
'y+3/4,x+1/4,-z+3/4'
'-y+3/4,-x+1/4,z+3/4'
loop_
_atom_site_label
_atom_site_type_symbol
_atom_site_fract_x
_atom_site_fract_y
_atom_site_fract_z
La1 La 0.0000 0.2500 0.3750
C1 C 0.0000 0.0000 0.0000
F1 F 0.0000 0.2500 0.8750
```

Total magnetic moment   0.000 μB/atom
Density of states at the Fermi level   6.431 states/eV/cell

***

run 2 (100.1 kJ/mol of atoms below the next structure)

***

Run 1
VASP calculation (PBE) on a geometry-optimized La2C2F structure.

Geometry as CIF:
```
data_La2C2F
_cell_length_a 3.8138
_cell_length_b 3.8138
_cell_length_c 13.5340
_cell_angle_alpha 90.00
_cell_angle_beta 90.00
_cell_angle_gamma 90.00
_space_group_name_H-M_alt 'I 4/m m m'
_space_group_IT_number 139
_space_group_name_Hall '-I 4 2'
loop_
_atom_site_label
_atom_site_type_symbol
_atom_site_fract_x
_atom_site_fract_y
_atom_site_fract_z
La1 La 0.0000 0.0000 0.1400
C1 C 0.0000 0.5000 0.2500
F1 F 0.0000 0.0000 0.5000
```

Total magnetic moment   0.000 μB/atom
Density of states at the Fermi level   3.050 states/eV/cell

***

Run 2
VASP calculation (PBE) on a geometry-optimized La2C2F structure.

Geometry as CIF:
```
data_La2C2F
_cell_length_a 13.9403
_cell_length_b 4.3612
_cell_length_c 6.7061
_cell_angle_alpha 90.00
_cell_angle_beta 107.57
_cell_angle_gamma 90.00
_space_group_name_H-M_alt 'C 1 2/c 1'
_space_group_IT_number 15
loop_
_space_group_symop_operation_xyz
'x,y,z'
'-x,-y,-z'
'-x,y,-z+1/2'
'x,-y,z+1/2'
'x+1/2,y+1/2,z'
'-x+1/2,-y+1/2,-z'
'-x+1/2,y+1/2,-z+1/2'
'x+1/2,-y+1/2,z+1/2'
loop_
_atom_site_label
_atom_site_type_symbol
_atom_site_fract_x
_atom_site_fract_y
_atom_site_fract_z
La1 La 0.1417 0.1785 0.1140
C1 C 0.2221 0.3728 0.5153
F1 F 0.0000 0.0845 0.7500
```

Total magnetic moment   0.000 μB/atom
Density of states at the Fermi level   5.170 states/eV/cell

***

Run 3
VASP calculation (PBE) on a geometry-optimized La2C2F structure.

Geometry as CIF:
```
data_La2C2F
_cell_length_a 7.0121
_cell_length_b 7.0121
_cell_length_c 3.5487
_cell_angle_alpha 90.00
_cell_angle_beta 90.00
_cell_angle_gamma 90.00
_space_group_name_H-M_alt 'P 4/m b m'
_space_group_IT_number 127
_space_group_name_Hall '-P 4 2ab'
loop_
_atom_site_label
_atom_site_type_symbol
_atom_site_fract_x
_atom_site_fract_y
_atom_site_fract_z
La1 La 0.1969 0.3031 0.0000
C1 C 0.0699 0.5699 0.5000
F1 F 0.0000 0.0000 0.0000
```

Total magnetic moment   0.000 μB/atom
Density of states at the Fermi level   4.981 states/eV/cell

***

run 2 (10.2 kJ/mol of atoms below the next structure)

***

Run 1
VASP calculation (PBE) on a geometry-optimized LaCF structure.

Geometry as CIF:
```
data_LaCF
_cell_length_a 7.2059
_cell_length_b 3.9953
_cell_length_c 7.0308
_cell_angle_alpha 90.00
_cell_angle_beta 96.98
_cell_angle_gamma 90.00
_space_group_name_H-M_alt 'C 1 2/m 1'
_space_group_IT_number 12
loop_
_space_group_symop_operation_xyz
'x,y,z'
'-x,-y,-z'
'-x,y,-z'
'x,-y,z'
'x+1/2,y+1/2,z'
'-x+1/2,-y+1/2,-z'
'-x+1/2,y+1/2,-z'
'x+1/2,-y+1/2,z'
loop_
_atom_site_label
_atom_site_type_symbol
_atom_site_fract_x
_atom_site_fract_y
_atom_site_fract_z
La1 La 0.1528 0.0000 0.2303
C1 C 0.0707 0.5000 0.9458
F1 F 0.1831 0.0000 0.6049
```

Total magnetic moment   0.000 μB/atom
Density of states at the Fermi level   5.279 states/eV/cell

***

Run 2
VASP calculation (PBE) on a geometry-optimized LaCF structure.

Geometry as CIF:
```
data_LaCF
_cell_length_a 3.7874
_cell_length_b 13.7336
_cell_length_c 3.2501
_cell_angle_alpha 90.00
_cell_angle_beta 90.00
_cell_angle_gamma 90.00
_space_group_name_H-M_alt 'C m c m'
_space_group_IT_number 63
_space_group_name_Hall '-C 2c 2'
loop_
_atom_site_label
_atom_site_type_symbol
_atom_site_fract_x
_atom_site_fract_y
_atom_site_fract_z
La1 La 0.0000 0.1197 0.2500
C1 C 0.0000 0.4724 0.2500
F1 F 0.0000 0.2639 0.7500
```

Total magnetic moment   0.000 μB/atom
Density of states at the Fermi level   1.814 states/eV/cell

***

run 1 (37.7 kJ/mol of atoms below the next structure)